AcNd4Er7 | PBE-GGA | optimized geometry

Structure (POSCAR):
```
AcNd4Er7
1.0
6.172 -3.030 0.000
6.172 3.030 0.000
-6.165 0.000 11.150
Ac Nd Er
1 4 7
direct
0.000 0.000 0.000 Ac
0.244 0.244 0.677 Nd
0.370 0.370 0.224 Nd
0.630 0.630 0.776 Nd
0.756 0.756 0.323 Nd
0.057 0.057 0.335 Er
0.217 0.217 0.922 Er
0.366 0.366 0.497 Er
0.500 0.500 0.000 Er
0.634 0.634 0.503 Er
0.783 0.783 0.078 Er
0.943 0.943 0.665 Er
```

## Properties
DOS at the Fermi energy, states/eV/f.u.: 19.8
Offset from the most stable computed form, meV per atom: 218

Ac4Nd3Er2 | PBE-GGA | optimized geometry

Structure (POSCAR):
```
Ac4Nd3Er2
1.0
5.876 -2.703 0.000
5.876 2.703 0.000
-3.280 0.000 10.840
Ac Nd Er
4 3 2
direct
0.002 0.002 0.331 Ac
0.334 0.334 0.111 Ac
0.666 0.666 0.889 Ac
0.998 0.998 0.669 Ac
0.000 0.000 0.000 Nd
0.333 0.333 0.448 Nd
0.667 0.667 0.552 Nd
0.329 0.329 0.773 Er
0.671 0.671 0.227 Er
```

## Properties
DOS at the Fermi energy, states/eV/f.u.: 14.0
Calculated total energy, eV per cell: -39.4

Q: Which of these has the highest DOS at the Fermi energy?
A: AcNd4Er7